Record 1
# Cs2SbBr2Cl4

A geometry-optimized Cs2SbBr2Cl4 structure (PBE, Alexandria).

Computed properties:
Crystal system: tetragonal
Total magnetic moment, μB/cell: 0.0
Raw formation energy, eV per atom: -1.301

abc: 7.837 7.837 10.609
angles: 90.00 90.00 90.00
Space group I4/mmm (No. 139)
Asymmetric unit:
Cs1 0.000 0.500 0.250 [4 per cell]
Sb1 0.000 0.000 0.000 [2 per cell]
Br1 0.000 0.000 0.255 [4 per cell]
Cl1 0.231 0.231 0.000 [8 per cell]

Record 2
# CsScBrCl2

A geometry-optimized CsScBrCl2 structure (PBE, Alexandria).

Computed properties:
Crystal system: tetragonal
Total magnetic moment, μB/cell: 1.0
Raw formation energy, eV per atom: -1.800

abc: 5.214 5.214 5.547
angles: 90.00 90.00 90.00
Space group P4/mmm (No. 123)
Asymmetric unit:
Cs1 0.000 0.000 0.000 [1 per cell]
Sc1 0.500 0.500 0.500 [1 per cell]
Br1 0.500 0.500 0.000 [1 per cell]
Cl1 0.000 0.500 0.500 [2 per cell]

Record 3
# CsSeBr2Cl

A geometry-optimized CsSeBr2Cl structure (PBE, Alexandria).

Computed properties:
Excess energy over the best structure of this formula in the dataset, eV/atom: 1.069
Crystal system: tetragonal
Total magnetic moment, μB/cell: 4.0
Raw formation energy, eV per atom: 0.295

abc: 6.929 6.929 7.765
angles: 90.00 90.00 90.00
Space group P4/mmm (No. 123)
Asymmetric unit:
Cs1 0.000 0.000 0.000 [1 per cell]
Se1 0.000 0.000 0.500 [1 per cell]
Br1 0.000 0.500 0.000 [2 per cell]
Cl1 0.500 0.500 0.500 [1 per cell]

Record 4
# CsSeBr2Cl

A geometry-optimized CsSeBr2Cl structure (PBE, Alexandria).

Computed properties:
Excess energy over the best structure of this formula in the dataset, eV/atom: 0.483
Crystal system: tetragonal
Total magnetic moment, μB/cell: 2.3
Raw formation energy, eV per atom: -0.291

abc: 6.463 6.463 4.753
angles: 90.00 90.00 90.00
Space group P4/mmm (No. 123)
Asymmetric unit:
Cs1 0.000 0.000 0.000 [1 per cell]
Se1 0.500 0.500 0.000 [1 per cell]
Br1 0.000 0.500 0.500 [2 per cell]
Cl1 0.500 0.500 0.500 [1 per cell]

Record 5
# CsSeBr2Cl

A geometry-optimized CsSeBr2Cl structure (PBE, Alexandria).

Computed properties:
Excess energy over the best structure of this formula in the dataset, eV/atom: 0.000
Crystal system: tetragonal
Total magnetic moment, μB/cell: 0.1
Raw formation energy, eV per atom: -0.774

abc: 5.460 5.460 5.593
angles: 90.00 90.00 90.00
Space group P4/mmm (No. 123)
Asymmetric unit:
Cs1 0.000 0.000 0.000 [1 per cell]
Se1 0.500 0.500 0.500 [1 per cell]
Br1 0.000 0.500 0.500 [2 per cell]
Cl1 0.500 0.500 0.000 [1 per cell]

Record 6
# Cs6SeBr2Cl3

A geometry-optimized Cs6SeBr2Cl3 structure (PBE, Alexandria).

Computed properties:
Crystal system: monoclinic
Total magnetic moment, μB/cell: 2.0
Raw formation energy, eV per atom: -1.651

abc: 22.459 5.048 10.402
angles: 90.00 104.06 90.00
Space group C2/m (No. 12)
Asymmetric unit:
Cs1 0.003 0.000 0.238 [4 per cell]
Cs2 0.165 0.500 0.088 [4 per cell]
Cs3 0.170 0.500 0.576 [4 per cell]
Se1 0.000 0.500 0.500 [2 per cell]
Br1 0.166 0.000 0.832 [4 per cell]
Cl1 0.000 0.500 0.000 [2 per cell]
Cl2 0.167 0.000 0.331 [4 per cell]

Record 7
# Cs2SiBr2Cl4

A geometry-optimized Cs2SiBr2Cl4 structure (PBE, Alexandria).

Computed properties:
Crystal system: monoclinic
Total magnetic moment, μB/cell: 0.0
Raw formation energy, eV per atom: -1.424

abc: 12.980 7.607 7.602
angles: 90.00 125.75 90.00
Space group C2/m (No. 12)
Asymmetric unit:
Cs1 0.250 0.000 0.250 [4 per cell]
Si1 0.000 0.000 0.500 [2 per cell]
Br1 0.233 0.000 0.732 [4 per cell]
Cl1 0.000 0.208 0.292 [8 per cell]

Record 8
# CsSiBrCl2

A geometry-optimized CsSiBrCl2 structure (PBE, Alexandria).

Computed properties:
Crystal system: tetragonal
Total magnetic moment, μB/cell: 0.0
Raw formation energy, eV per atom: -1.088

abc: 5.233 5.233 5.494
angles: 90.00 90.00 90.00
Space group P4/mmm (No. 123)
Asymmetric unit:
Cs1 0.000 0.000 0.000 [1 per cell]
Si1 0.500 0.500 0.500 [1 per cell]
Br1 0.500 0.500 0.000 [1 per cell]
Cl1 0.000 0.500 0.500 [2 per cell]